Cs2CeHo2S6 after structural relaxation. Source: the Alexandria database, functional PBE.

abc: 7.0157 7.0157 8.5674
angles: 97.94 97.94 120.04
Fractional coordinates of all 11 atoms:
Cs1 0.1677 0.8323 0.0000
Cs2 0.8323 0.1677 0.0000
Ce1 0.0000 0.0000 0.5000
Ho1 0.3336 0.6664 0.5000
Ho2 0.6664 0.3336 0.5000
S1 0.0581 0.3921 0.6761
S2 0.2723 0.2723 0.3240
S3 0.3921 0.0581 0.6761
S4 0.6079 0.9419 0.3239
S5 0.7277 0.7277 0.6760
S6 0.9419 0.6079 0.3239

Calculated values
Energy in eV per atom: -5.63
Formation energy without anion corrections in eV/atom: -1.85
Space group: C2/m, No. 12